Entry from the Alexandria database: crystalline Pm2Nd3Ge4 at its relaxed geometry (PBE).

Lattice parameters (Å, degrees): 7.8765 8.9423 8.0471 90.00 90.00 121.77
Sites, in units of the cell vectors:
Ge (0.8842, 0.5060, 0.1251)
Ge (0.3842, 0.5060, 0.3749)
Ge (0.7685, 0.0887, 0.4675)
Nd (0.3605, 0.7969, 0.1803)
Nd (0.1395, 0.2031, 0.6803)
Pm (0.9890, 0.7682, 0.8364)
Ge (0.2315, 0.9113, 0.5325)
Nd (0.0000, 0.5000, 0.5000)
Ge (0.6158, 0.4940, 0.6251)
Pm (0.0110, 0.2318, 0.1636)
Nd (0.6395, 0.2031, 0.8197)
Ge (0.7315, 0.9113, 0.9675)
Nd (0.8605, 0.7969, 0.3197)
Pm (0.5110, 0.2318, 0.3364)
Ge (0.1158, 0.4940, 0.8749)
Nd (0.5000, 0.5000, 0.0000)
Pm (0.4890, 0.7682, 0.6636)
Ge (0.2685, 0.0887, 0.0325)

Results
Energy above the lowest structure with this stoichiometry: 0.0000 eV/atom
ΔE_f: -0.82 eV/atom
Total magnetic moment: 0.000 μB/atom